Record 1
# NaCr2RuO8 PBE+U optimized geometry
# Total DFT energy (no corrections), eV/atom: -6.59
# Symmetry: P-1, No. 2
# Volume, Å³ per cell: 131.5
data_NaCr2RuO8
_cell_length_a 4.716
_cell_length_b 4.556
_cell_length_c 6.121
_cell_angle_alpha 90.08
_cell_angle_beta 90.21
_cell_angle_gamma 88.30
_symmetry_space_group_name_H-M 'P 1'
_symmetry_Int_Tables_number 1
_symmetry_space_group_name_Hall 'P 1'
loop_
_atom_site_label
_atom_site_type_symbol
_atom_site_fract_x
_atom_site_fract_y
_atom_site_fract_z
O1 O 0.192 0.772 0.212
O2 O 0.344 0.307 0.510
O3 O 0.312 0.288 0.003
O4 O 0.688 0.712 0.997
O5 O 0.656 0.693 0.490
O6 O 0.801 0.220 0.213
O7 O 0.808 0.228 0.788
O8 O 0.199 0.780 0.787
Na1 Na 0.000 0.000 0.500
Cr1 Cr 0.493 0.494 0.741
Cr2 Cr 0.507 0.506 0.259
Ru1 Ru 0.000 0.000 0.000



Record 2
# Na2CrRuO6 PBE+U optimized geometry
# Total DFT energy (no corrections), eV/atom: -6.18
# Symmetry: P4/mmm, No. 123
# Volume, Å³ per cell: 113.0
data_Na2CrRuO6
_cell_length_a 3.820
_cell_length_b 5.440
_cell_length_c 5.440
_cell_angle_alpha 90.00
_cell_angle_beta 90.00
_cell_angle_gamma 90.00
_symmetry_space_group_name_H-M 'P 1'
_symmetry_Int_Tables_number 1
_symmetry_space_group_name_Hall 'P 1'
loop_
_atom_site_label
_atom_site_type_symbol
_atom_site_fract_x
_atom_site_fract_y
_atom_site_fract_z
Na1 Na 0.144 0.000 0.500
Na2 Na 0.144 0.500 0.000
O1 O 0.145 0.500 0.500
O2 O 0.645 0.253 0.253
O3 O 0.645 0.253 0.747
O4 O 0.145 0.000 0.000
O5 O 0.645 0.747 0.747
O6 O 0.645 0.747 0.253
Ru1 Ru 0.645 0.500 0.500
Cr1 Cr 0.644 0.000 0.000



Record 3
# Na2Cr2RuO6 PBE+U optimized geometry
# Total DFT energy (no corrections), eV/atom: -6.78
# Symmetry: C2/m, No. 12
# Volume, Å³ per cell: 130.8
data_Na2Cr2RuO6
_cell_length_a 5.241
_cell_length_b 5.241
_cell_length_c 5.784
_cell_angle_alpha 98.51
_cell_angle_beta 98.51
_cell_angle_gamma 120.41
_symmetry_space_group_name_H-M 'P 1'
_symmetry_Int_Tables_number 1
_symmetry_space_group_name_Hall 'P 1'
loop_
_atom_site_label
_atom_site_type_symbol
_atom_site_fract_x
_atom_site_fract_y
_atom_site_fract_z
O1 O 0.944 0.602 0.310
O2 O 0.266 0.266 0.307
O3 O 0.398 0.056 0.690
O4 O 0.602 0.944 0.310
O5 O 0.056 0.398 0.690
O6 O 0.734 0.734 0.693
Cr1 Cr 0.335 0.665 0.500
Cr2 Cr 0.665 0.335 0.500
Na1 Na 0.833 0.167 0.000
Na2 Na 0.167 0.833 0.000
Ru1 Ru 0.000 0.000 0.500



Record 4
# Na3Cr3RuO8 PBE+U optimized geometry
# Total DFT energy (no corrections), eV/atom: -6.73
# Symmetry: R-3m, No. 166
# Volume, Å³ per cell: 174.4
data_Na3Cr3RuO8
_cell_length_a 6.075
_cell_length_b 6.077
_cell_length_c 6.483
_cell_angle_alpha 117.94
_cell_angle_beta 89.98
_cell_angle_gamma 119.99
_symmetry_space_group_name_H-M 'P 1'
_symmetry_Int_Tables_number 1
_symmetry_space_group_name_Hall 'P 1'
loop_
_atom_site_label
_atom_site_type_symbol
_atom_site_fract_x
_atom_site_fract_y
_atom_site_fract_z
Na1 Na 0.500 0.500 0.000
Na2 Na 0.000 0.500 0.000
Na3 Na 0.000 0.000 0.000
Cr1 Cr 0.500 0.500 0.500
Cr2 Cr 0.000 0.500 0.500
Cr3 Cr 0.500 0.000 0.500
O1 O 0.229 0.963 0.692
O2 O 0.230 0.459 0.693
O3 O 0.770 0.541 0.307
O4 O 0.771 0.037 0.308
O5 O 0.731 0.463 0.695
O6 O 0.269 0.537 0.305
O7 O 0.733 0.963 0.692
O8 O 0.267 0.037 0.308
Ru1 Ru 0.000 0.000 0.500



Record 5
# Na3Cr2RuO6 PBE+U optimized geometry
# Total DFT energy (no corrections), eV/atom: -6.45
# Symmetry: C2/m, No. 12
# Volume, Å³ per cell: 130.9
data_Na3Cr2RuO6
_cell_length_a 5.306
_cell_length_b 5.306
_cell_length_c 5.648
_cell_angle_alpha 99.04
_cell_angle_beta 99.04
_cell_angle_gamma 119.90
_symmetry_space_group_name_H-M 'P 1'
_symmetry_Int_Tables_number 1
_symmetry_space_group_name_Hall 'P 1'
loop_
_atom_site_label
_atom_site_type_symbol
_atom_site_fract_x
_atom_site_fract_y
_atom_site_fract_z
Ru1 Ru 0.000 0.000 0.000
O1 O 0.591 0.932 0.799
O2 O 0.932 0.591 0.799
O3 O 0.275 0.275 0.799
O4 O 0.409 0.068 0.201
O5 O 0.068 0.409 0.201
O6 O 0.725 0.725 0.201
Na1 Na 0.500 0.500 0.500
Na2 Na 0.836 0.164 0.500
Na3 Na 0.164 0.836 0.500
Cr1 Cr 0.333 0.667 0.000
Cr2 Cr 0.667 0.333 0.000



Record 6
# Na2CrRuO4 PBE+U optimized geometry
# Total DFT energy (no corrections), eV/atom: -6.40
# Symmetry: P2/m, No. 10
# Volume, Å³ per cell: 87.7
data_Na2CrRuO4
_cell_length_a 3.032
_cell_length_b 5.388
_cell_length_c 5.654
_cell_angle_alpha 108.28
_cell_angle_beta 90.00
_cell_angle_gamma 90.00
_symmetry_space_group_name_H-M 'P 1'
_symmetry_Int_Tables_number 1
_symmetry_space_group_name_Hall 'P 1'
loop_
_atom_site_label
_atom_site_type_symbol
_atom_site_fract_x
_atom_site_fract_y
_atom_site_fract_z
Na1 Na 0.000 0.500 0.500
Na2 Na 0.500 0.000 0.500
O1 O 0.500 0.243 0.204
O2 O 0.000 0.276 0.798
O3 O 0.000 0.724 0.202
O4 O 0.500 0.757 0.796
Cr1 Cr 0.500 0.500 0.000
Ru1 Ru 0.000 0.000 0.000



Record 7
# NaCrS2O8 PBE+U optimized geometry
# Total DFT energy (no corrections), eV/atom: -6.33
# Symmetry: P-3, No. 147
# Volume, Å³ per cell: 154.4
data_NaCrS2O8
_cell_length_a 4.812
_cell_length_b 4.812
_cell_length_c 7.699
_cell_angle_alpha 90.00
_cell_angle_beta 90.00
_cell_angle_gamma 120.00
_symmetry_space_group_name_H-M 'P 1'
_symmetry_Int_Tables_number 1
_symmetry_space_group_name_Hall 'P 1'
loop_
_atom_site_label
_atom_site_type_symbol
_atom_site_fract_x
_atom_site_fract_y
_atom_site_fract_z
O1 O 0.644 0.705 0.659
O2 O 0.356 0.295 0.341
O3 O 0.667 0.333 0.086
O4 O 0.295 0.939 0.659
O5 O 0.061 0.356 0.659
O6 O 0.939 0.644 0.341
O7 O 0.705 0.061 0.341
O8 O 0.333 0.667 0.914
Cr1 Cr 0.000 0.000 0.500
Na1 Na 0.000 0.000 0.000
S1 S 0.333 0.667 0.725
S2 S 0.667 0.333 0.275



Record 8
# Na3CrS2O8 PBE+U optimized geometry
# Total DFT energy (no corrections), eV/atom: -5.79
# Symmetry: P-3m1, No. 164
# Volume, Å³ per cell: 185.3
data_Na3CrS2O8
_cell_length_a 5.479
_cell_length_b 5.479
_cell_length_c 7.129
_cell_angle_alpha 90.00
_cell_angle_beta 90.00
_cell_angle_gamma 120.00
_symmetry_space_group_name_H-M 'P 1'
_symmetry_Int_Tables_number 1
_symmetry_space_group_name_Hall 'P 1'
loop_
_atom_site_label
_atom_site_type_symbol
_atom_site_fract_x
_atom_site_fract_y
_atom_site_fract_z
Na1 Na 0.333 0.667 0.688
Na2 Na 0.667 0.333 0.312
Na3 Na 0.000 0.000 0.000
O1 O 0.667 0.333 0.000
O2 O 0.333 0.667 0.000
O3 O 0.815 0.185 0.721
O4 O 0.185 0.815 0.279
O5 O 0.185 0.370 0.279
O6 O 0.370 0.185 0.721
O7 O 0.630 0.815 0.279
O8 O 0.815 0.630 0.721
S1 S 0.333 0.667 0.205
S2 S 0.667 0.333 0.795
Cr1 Cr 0.000 0.000 0.500